Entry 1:
# Zr4TaFe | the Alexandria database | PBE-GGA | optimized geometry
data_Zr4TaFe
_chemical_formula_sum 'Zr16 Ta4 Fe4'
_cell_length_a 7.992
_cell_length_b 7.992
_cell_length_c 7.992
_cell_angle_alpha 90.00
_cell_angle_beta 90.00
_cell_angle_gamma 90.00
_symmetry_space_group_name_H-M 'F -4 3 m'
_symmetry_Int_Tables_number 216
_symmetry_space_group_name_Hall 'F -4 2 3'
loop_
_atom_site_label
_atom_site_fract_x
_atom_site_fract_y
_atom_site_fract_z
Zr1 0.124 0.124 0.376
Ta1 0.250 0.250 0.750
Fe1 0.000 0.000 0.000
# * crystal system: cubic



Entry 2:
# USi2Ir2 | the Alexandria database | PBE-GGA | optimized geometry
data_USi2Ir2
_chemical_formula_sum 'U2 Si4 Ir4'
_cell_length_a 4.040
_cell_length_b 4.040
_cell_length_c 10.079
_cell_angle_alpha 90.00
_cell_angle_beta 90.00
_cell_angle_gamma 90.00
_symmetry_space_group_name_H-M 'I 4/m m m'
_symmetry_Int_Tables_number 139
_symmetry_space_group_name_Hall '-I 4 2'
loop_
_atom_site_label
_atom_site_fract_x
_atom_site_fract_y
_atom_site_fract_z
U1 0.000 0.000 0.000
Si1 0.000 0.000 0.383
Ir1 0.000 0.500 0.250
# * uncorrected formation energy: -784 meV/atom
# * crystal system: tetragonal



no.,DFT total energy (eV/atom)
1,-8.3985
2,-8.7551